# PBr

Crystalline PBr at its relaxed geometry (GGA-PBE, Alexandria via LeMat-Bulk).

```
PBr
1.0
7.252 -0.093 0.000
-5.887 4.237 0.000
0.000 0.000 3.478
Br P
2 2
direct
0.879 0.121 0.750
0.121 0.879 0.250
0.556 0.444 0.750
0.444 0.556 0.250
```

Results
- ΔE to the lowest computed polymorph (eV per atom) = 0.481
- raw formation energy (meV/atom) = 351
- Fermi-level density of states (states/eV/f.u.) = 0.46